1.
# PBE Dy2FeGe4, optimized geometry
data_Dy2FeGe4
_space_group_name_H-M_alt 'P 1'
_space_group_IT_number 1
_cell_length_a 8.0879
_cell_length_b 8.0879
_cell_length_c 4.1408
_cell_angle_alpha 90.00
_cell_angle_beta 90.00
_cell_angle_gamma 149.97
loop_
_space_group_symop_operation_xyz
'x,y,z'
loop_
_atom_site_label
_atom_site_fract_x
_atom_site_fract_y
_atom_site_fract_z
_atom_site_occupancy
Dy1 0.0983 0.9017 0.0000 1
Dy2 0.8926 0.1074 0.5000 1
Ge1 0.7362 0.2638 0.0000 1
Ge2 0.5595 0.4405 0.5000 1
Ge3 0.4495 0.5505 0.0000 1
Ge4 0.2376 0.7624 0.5000 1
Fe1 0.3023 0.6977 0.0000 1
# * energy of formation from the pure elements: -4.12 eV per formula unit

2.
# PBE Nd2InRu2, optimized geometry
data_Nd2InRu2
_space_group_name_H-M_alt 'P 1'
_space_group_IT_number 1
_cell_length_a 5.6824
_cell_length_b 5.8269
_cell_length_c 8.3532
_cell_angle_alpha 104.22
_cell_angle_beta 90.00
_cell_angle_gamma 119.18
loop_
_space_group_symop_operation_xyz
'x,y,z'
loop_
_atom_site_label
_atom_site_fract_x
_atom_site_fract_y
_atom_site_fract_z
_atom_site_occupancy
Nd1 0.4881 0.2895 0.1458 1
Nd2 0.5119 0.7105 0.8542 1
Nd3 0.1986 0.7105 0.3542 1
Nd4 0.8014 0.2895 0.6458 1
Ru1 0.3026 0.2886 0.5115 1
Ru2 0.6974 0.7114 0.4885 1
Ru3 0.9860 0.2886 0.0115 1
Ru4 0.0140 0.7114 0.9885 1
In1 0.8590 0.0000 0.2500 1
In2 0.1410 0.0000 0.7500 1
# * energy of formation from the pure elements: -1.48 eV per formula unit

3.
# PBE PmCuPAu, optimized geometry
data_PmCuPAu
_space_group_name_H-M_alt 'P 1'
_space_group_IT_number 1
_cell_length_a 4.8091
_cell_length_b 4.8091
_cell_length_c 4.8091
_cell_angle_alpha 60.00
_cell_angle_beta 60.00
_cell_angle_gamma 60.00
loop_
_space_group_symop_operation_xyz
'x,y,z'
loop_
_atom_site_label
_atom_site_fract_x
_atom_site_fract_y
_atom_site_fract_z
_atom_site_occupancy
Cu1 0.0000 0.0000 0.0000 1
Au1 0.7500 0.7500 0.7500 1
Pm1 0.5000 0.5000 0.5000 1
P1 0.2500 0.2500 0.2500 1
# * energy of formation from the pure elements: -1.64 eV per formula unit

4.
# PBE CaInNi, optimized geometry
data_CaInNi
_space_group_name_H-M_alt 'P 1'
_space_group_IT_number 1
_cell_length_a 4.5039
_cell_length_b 4.5039
_cell_length_c 3.9198
_cell_angle_alpha 90.00
_cell_angle_beta 90.00
_cell_angle_gamma 120.00
loop_
_space_group_symop_operation_xyz
'x,y,z'
loop_
_atom_site_label
_atom_site_fract_x
_atom_site_fract_y
_atom_site_fract_z
_atom_site_occupancy
In1 0.6667 0.3333 0.5002 1
Ni1 0.3333 0.6667 0.4997 1
Ca1 0.0000 0.0000 0.0001 1
# * energy of formation from the pure elements: -0.62 eV per formula unit

5.
# PBE KCr2Mo, optimized geometry
data_KCr2Mo
_space_group_name_H-M_alt 'P 1'
_space_group_IT_number 1
_cell_length_a 5.9169
_cell_length_b 5.9169
_cell_length_c 5.9169
_cell_angle_alpha 152.71
_cell_angle_beta 126.72
_cell_angle_gamma 60.88
loop_
_space_group_symop_operation_xyz
'x,y,z'
loop_
_atom_site_label
_atom_site_fract_x
_atom_site_fract_y
_atom_site_fract_z
_atom_site_occupancy
Mo1 0.7871 0.2871 0.5000 1
K1 0.4928 0.4928 0.0000 1
Cr1 0.0112 0.0112 0.0000 1
Cr2 0.2088 0.7088 0.5000 1
# * E above lowest polymorph: 479 meV per atom
# * energy of formation from the pure elements: 5.08 eV per formula unit

6.
# PBE NaCaCdPb, optimized geometry
data_NaCaCdPb
_space_group_name_H-M_alt 'P 1'
_space_group_IT_number 1
_cell_length_a 5.3975
_cell_length_b 5.3975
_cell_length_c 5.3975
_cell_angle_alpha 60.00
_cell_angle_beta 60.00
_cell_angle_gamma 60.00
loop_
_space_group_symop_operation_xyz
'x,y,z'
loop_
_atom_site_label
_atom_site_fract_x
_atom_site_fract_y
_atom_site_fract_z
_atom_site_occupancy
Pb1 0.5000 0.5000 0.5000 1
Cd1 0.0000 0.0000 0.0000 1
Na1 0.7500 0.7500 0.7500 1
Ca1 0.2500 0.2500 0.2500 1
# * energy of formation from the pure elements: -1.12 eV per formula unit

7.
# PBE TlBiPb5, optimized geometry
data_TlBiPb5
_space_group_name_H-M_alt 'P 1'
_space_group_IT_number 1
_cell_length_a 4.9273
_cell_length_b 4.9273
_cell_length_c 9.7337
_cell_angle_alpha 90.00
_cell_angle_beta 90.00
_cell_angle_gamma 90.00
loop_
_space_group_symop_operation_xyz
'x,y,z'
loop_
_atom_site_label
_atom_site_fract_x
_atom_site_fract_y
_atom_site_fract_z
_atom_site_occupancy
Pb1 0.0000 0.5000 0.2637 1
Pb2 0.0000 0.5000 0.7363 1
Pb3 0.5000 0.0000 0.7363 1
Pb4 0.5000 0.0000 0.2637 1
Pb5 0.5000 0.5000 0.0000 1
Bi1 0.0000 0.0000 0.5000 1
Tl1 0.0000 0.0000 0.0000 1
# * energy of formation from the pure elements: 0.25 eV per formula unit

8.
# PBE PbBr2Cl2, optimized geometry
data_PbBr2Cl2
_space_group_name_H-M_alt 'P 1'
_space_group_IT_number 1
_cell_length_a 4.5333
_cell_length_b 4.5443
_cell_length_c 10.7263
_cell_angle_alpha 94.76
_cell_angle_beta 90.00
_cell_angle_gamma 119.92
loop_
_space_group_symop_operation_xyz
'x,y,z'
loop_
_atom_site_label
_atom_site_fract_x
_atom_site_fract_y
_atom_site_fract_z
_atom_site_occupancy
Cl1 0.0778 0.1557 0.5801 1
Cl2 0.9222 0.8443 0.4199 1
Br1 0.6865 0.3729 0.1520 1
Br2 0.3135 0.6271 0.8480 1
Pb1 0.0000 0.0000 0.0000 1
# * uncorrected energy: -2.6907 eV/atom

9.
# PBE Mg2Ti, optimized geometry
data_Mg2Ti
_space_group_name_H-M_alt 'P 1'
_space_group_IT_number 1
_cell_length_a 4.8372
_cell_length_b 8.4426
_cell_length_c 12.3224
_cell_angle_alpha 79.15
_cell_angle_beta 90.00
_cell_angle_gamma 90.00
loop_
_space_group_symop_operation_xyz
'x,y,z'
loop_
_atom_site_label
_atom_site_fract_x
_atom_site_fract_y
_atom_site_fract_z
_atom_site_occupancy
Mg1 0.7500 0.7083 0.8457 1
Mg2 0.2500 0.6092 0.9908 1
Mg3 0.7500 0.0682 0.1796 1
Mg4 0.2500 0.9318 0.8204 1
Mg5 0.2500 0.9325 0.3190 1
Mg6 0.7500 0.0643 0.4252 1
Mg7 0.7500 0.7157 0.6007 1
Mg8 0.7500 0.0675 0.6810 1
Mg9 0.2500 0.9411 0.0708 1
Mg10 0.2500 0.6069 0.4848 1
Mg11 0.7500 0.3931 0.5152 1
Mg12 0.7500 0.3908 0.0092 1
Mg13 0.2500 0.9357 0.5748 1
Mg14 0.2500 0.2917 0.1543 1
Mg15 0.7500 0.0589 0.9292 1
Mg16 0.2500 0.2843 0.3993 1
Ti1 0.2500 0.2822 0.6713 1
Ti2 0.7500 0.7178 0.3287 1
Ti3 0.7500 0.4331 0.2580 1
Ti4 0.2500 0.6170 0.2364 1
Ti5 0.7500 0.7200 0.1163 1
Ti6 0.2500 0.5669 0.7420 1
Ti7 0.2500 0.2800 0.8837 1
Ti8 0.7500 0.3830 0.7636 1
# * energy of formation from the pure elements: 0.31 eV per formula unit

10.
# PBE Er2MgBi, optimized geometry
data_Er2MgBi
_space_group_name_H-M_alt 'P 1'
_space_group_IT_number 1
_cell_length_a 4.0194
_cell_length_b 4.0194
_cell_length_c 6.7401
_cell_angle_alpha 90.00
_cell_angle_beta 90.00
_cell_angle_gamma 90.00
loop_
_space_group_symop_operation_xyz
'x,y,z'
loop_
_atom_site_label
_atom_site_fract_x
_atom_site_fract_y
_atom_site_fract_z
_atom_site_occupancy
Mg1 0.5000 0.5000 0.0000 1
Er1 0.0000 0.0000 0.7481 1
Er2 0.0000 0.0000 0.2519 1
Bi1 0.5000 0.5000 0.5000 1
# * E above lowest polymorph: 0 meV per atom
# * energy of formation from the pure elements: -1.48 eV per formula unit

11.
# PBE In2NiRh2S6, optimized geometry
data_In2NiRh2S6
_space_group_name_H-M_alt 'P 1'
_space_group_IT_number 1
_cell_length_a 6.2248
_cell_length_b 6.2248
_cell_length_c 6.6249
_cell_angle_alpha 99.16
_cell_angle_beta 99.16
_cell_angle_gamma 119.91
loop_
_space_group_symop_operation_xyz
'x,y,z'
loop_
_atom_site_label
_atom_site_fract_x
_atom_site_fract_y
_atom_site_fract_z
_atom_site_occupancy
S1 0.0621 0.4018 0.6979 1
S2 0.9379 0.5982 0.3021 1
S3 0.2522 0.2522 0.3163 1
S4 0.4018 0.0621 0.6979 1
S5 0.7478 0.7478 0.6837 1
S6 0.5982 0.9379 0.3021 1
In1 0.8301 0.1699 0.0000 1
In2 0.1699 0.8301 0.0000 1
Ni1 0.0000 0.0000 0.5000 1
Rh1 0.6677 0.3323 0.5000 1
Rh2 0.3323 0.6677 0.5000 1
# * uncorrected energy: -4.9851 eV/atom

12.
# PBE Tl3ReBr7, optimized geometry
data_Tl3ReBr7
_space_group_name_H-M_alt 'P 1'
_space_group_IT_number 1
_cell_length_a 7.5693
_cell_length_b 7.5693
_cell_length_c 8.4078
_cell_angle_alpha 68.51
_cell_angle_beta 68.51
_cell_angle_gamma 81.96
loop_
_space_group_symop_operation_xyz
'x,y,z'
loop_
_atom_site_label
_atom_site_fract_x
_atom_site_fract_y
_atom_site_fract_z
_atom_site_occupancy
Re1 0.0128 0.0128 0.9685 1
Tl1 0.5064 0.5064 0.9471 1
Tl2 0.2112 0.7875 0.4828 1
Tl3 0.7875 0.2112 0.4828 1
Br1 0.3319 0.9706 0.7393 1
Br2 0.1706 0.1706 0.0998 1
Br3 0.8498 0.8498 0.8428 1
Br4 0.5335 0.5335 0.5697 1
Br5 0.9706 0.3319 0.7393 1
Br6 0.0594 0.6913 0.1890 1
Br7 0.6913 0.0594 0.1890 1
# * uncorrected energy: -3.4213 eV/atom